No. 1
Computed, not measured: crystalline PmB2Rh3 at its relaxed geometry at the PBE-GGA level of DFT.

Cell lengths 5.4755, 6.2921, 6.3131 Å; angles 119.89, 115.70, 90.00 degrees
Closest atoms and distances in Å follow each position.
Sites, in units of the cell vectors:
Rh 0.0000 0.2500 0.0000  4 B 2.23
Rh 0.5000 0.7500 0.0000  4 B 2.23
Rh 0.5000 0.2500 0.0000  4 B 2.23
Rh 0.0000 0.7500 0.0000  4 B 2.23
Rh 0.0000 0.5000 0.5000  4 B 2.23
Rh 0.0000 0.0000 0.5000  4 B 2.23
Pm 0.5000 0.2500 0.5000  2 Pm 3.15, 12 Rh 3.16, 6 B 3.16
Pm 0.5000 0.7500 0.5000  2 Pm 3.15, 12 Rh 3.16, 6 B 3.16
B 0.8334 0.0834 0.1669  6 Rh 2.23
B 0.1666 0.9166 0.8331  6 Rh 2.23
B 0.1665 0.4166 0.8331  6 Rh 2.23
B 0.8335 0.5834 0.1669  6 Rh 2.23

Computed properties:
The energy above the lowest structure with this stoichiometry comes out at 0.0 meV/atom. As for the density of states at the Fermi level: 3.57 states/eV/f.u. As for the crystal system: hexagonal. The space group is P6/mmm (191). As for the formation energy: -0.675 eV/atom.

***

No. 2
Computed, not measured: crystalline CdSi2Te6Au at its relaxed geometry at the PBE-GGA level of DFT.

Cell lengths 7.0278, 10.3801, 10.3801 Å; angles 94.35, 72.51, 72.51 degrees
Closest atoms and distances in Å follow each position.
Sites, in units of the cell vectors:
Te 0.3883 0.1695 0.0063  1 Si 2.54
Te 0.8883 0.0063 0.1695  1 Si 2.54
Te 0.4332 0.5760 0.7063  2 Si 2.54-2.55
Te 0.1117 0.9937 0.8305  1 Si 2.54
Te 0.0668 0.2937 0.4240  2 Si 2.54-2.55
Te 0.6339 0.1237 0.5684  1 Si 2.58, 1 Au 2.63, 1 Cd 2.88
Te 0.5668 0.4240 0.2937  2 Si 2.54-2.55
Te 0.8661 0.4316 0.8763  1 Si 2.58, 1 Au 2.63, 1 Cd 2.88
Te 0.3661 0.8763 0.4316  1 Si 2.58, 1 Au 2.63, 1 Cd 2.88
Te 0.9332 0.7063 0.5760  2 Si 2.54-2.55
Te 0.1339 0.5684 0.1237  1 Si 2.58, 1 Au 2.63, 1 Cd 2.88
Te 0.6117 0.8305 0.9937  1 Si 2.54
Si 0.2993 0.3515 0.2132  4 Te 2.54-2.58
Si 0.7007 0.6485 0.7868  4 Te 2.54-2.58
Si 0.7993 0.2132 0.3515  4 Te 2.54-2.58
Si 0.2007 0.7868 0.6485  4 Te 2.54-2.58
Au 0.2500 0.2976 0.7024  2 Te 2.63
Au 0.7500 0.7024 0.2976  2 Te 2.63
Cd 0.2500 0.7990 0.2010  4 Te 2.88-2.92
Cd 0.7500 0.2010 0.7990  4 Te 2.88-2.92

Computed properties:
As for the density of states at the Fermi level: 3.84 states/eV/f.u. As for the crystal system: monoclinic. The space group is C2/c (15).

***

No. 3
Computed, not measured: crystalline ZnBrCl at its relaxed geometry at the PBE-GGA level of DFT.

Cell lengths 8.4610, 7.4330, 4.7450 Å; angles 84.98, 61.06, 33.96 degrees
Closest atoms and distances in Å follow each position.
Sites, in units of the cell vectors:
Cl 0.2807 0.2807 0.7193  2 Zn 2.37
Br 0.0487 0.0487 0.9513  2 Zn 2.49
Zn 0.6707 0.6707 0.3293  2 Cl 2.37, 2 Br 2.49

Computed properties:
The energy above the lowest structure with this stoichiometry comes out at 201.4 meV/atom. As for the density of states at the Fermi level: 0.00 states/eV/f.u. As for the crystal system: orthorhombic. The space group is Fmm2 (42).

***

No. 4
Computed, not measured: crystalline Zr2HgAs at its relaxed geometry at the PBE-GGA level of DFT.

Cell lengths 3.2462, 3.2462, 8.6911 Å; angles 90.00, 90.00, 105.75 degrees
Closest atoms and distances in Å follow each position.
Sites, in units of the cell vectors:
Zr 0.0000 0.0000 0.0026  2 Hg 3.01, 6 Zr 3.06-3.25
Zr 0.5000 0.5000 0.2736  2 As 2.68
As 0.0000 0.0000 0.4837  2 Zr 2.68, 2 Hg 2.97
Hg 0.5000 0.5000 0.7400  2 As 2.97, 2 Zr 3.01, 4 Hg 3.25

Computed properties:
The energy above the lowest structure with this stoichiometry comes out at 408.4 meV/atom. As for the density of states at the Fermi level: 4.83 states/eV/f.u. As for the crystal system: orthorhombic. The space group is Cmm2 (35). As for the formation energy: -0.195 eV/atom.

***

No. 5
Computed, not measured: crystalline NbZnAsBr2 at its relaxed geometry at the PBE-GGA level of DFT.

Cell lengths 5.0010, 5.0010, 4.9790 Å; angles 90.00, 90.00, 90.00 degrees
Closest atoms and distances in Å follow each position.
Sites, in units of the cell vectors:
As 0.0000 0.0000 0.5000  2 Zn 2.49
Br 0.5000 0.0000 0.0000  2 Zn 2.50
Br 0.0000 0.5000 0.0000  2 Zn 2.50
Zn 0.0000 0.0000 0.0000  2 As 2.49, 4 Br 2.50
Nb 0.5000 0.5000 0.5000  8 Br 3.53, 4 As 3.54

Computed properties:
The energy above the lowest structure with this stoichiometry comes out at 647.3 meV/atom. As for the density of states at the Fermi level: 4.19 states/eV/f.u. As for the crystal system: tetragonal. The space group is P4/mmm (123).

***

No. 6
Computed, not measured: crystalline TcAs3I at its relaxed geometry at the PBE-GGA level of DFT.

Cell lengths 4.8885, 4.8885, 4.8885 Å; angles 90.00, 90.00, 90.00 degrees
Closest atoms and distances in Å follow each position.
Sites, in units of the cell vectors:
As 0.5000 0.0000 0.0000  2 Tc 2.44
As 0.0000 0.5000 0.0000  2 Tc 2.44
As 0.0000 0.0000 0.5000  2 Tc 2.44
I 0.5000 0.5000 0.5000  12 As 3.46
Tc 0.0000 0.0000 0.0000  6 As 2.44

Computed properties:
The energy above the lowest structure with this stoichiometry comes out at 0.0 meV/atom. As for the density of states at the Fermi level: 5.11 states/eV/f.u. As for the crystal system: cubic. The space group is Pm-3m (221).

***

No. 7
Computed, not measured: crystalline HoZr2 at its relaxed geometry at the PBE-GGA level of DFT.

Cell lengths 6.0925, 6.0925, 6.0925 Å; angles 60.00, 60.00, 60.00 degrees
Closest atoms and distances in Å follow each position.
Sites, in units of the cell vectors:
Zr 0.6250 0.1250 0.6250  6 Zr 3.05
Zr 0.6250 0.6250 0.1250  6 Zr 3.05
Zr 0.1250 0.6250 0.6250  6 Zr 3.05
Zr 0.6250 0.6250 0.6250  6 Zr 3.05
Ho 0.2500 0.2500 0.2500  12 Zr 3.57, 4 Ho 3.73
Ho 0.0000 0.0000 0.0000  12 Zr 3.57, 4 Ho 3.73

Computed properties:
As for the density of states at the Fermi level: 6.66 states/eV/f.u. As for the crystal system: cubic. The space group is Fd-3m (227). As for the formation energy: 0.236 eV/atom.

***

No. 8
Computed, not measured: crystalline Na2SmCr2N4 at its relaxed geometry at the PBE-GGA level of DFT.

Cell lengths 3.3866, 7.0089, 8.7019 Å; angles 137.02, 90.00, 103.98 degrees
Closest atoms and distances in Å follow each position.
Sites, in units of the cell vectors:
N 0.7660 0.5320 0.8796  3 Cr 1.92-1.96
N 0.5297 0.0595 0.2357  1 Cr 1.75
N 0.4703 0.9405 0.7643  1 Cr 1.75
N 0.2340 0.4680 0.1204  3 Cr 1.92-1.96
Cr 0.3377 0.6754 0.0489  4 N 1.75-1.96
Cr 0.6623 0.3246 0.9511  4 N 1.75-1.96
Na 0.1409 0.2819 0.5357  4 N 2.45-2.65
Na 0.8591 0.7181 0.4643  4 N 2.45-2.65
Sm 0.0000 0.0000 0.0000  6 N 2.45-2.49

Computed properties:
As for the density of states at the Fermi level: 3.87 states/eV/f.u. As for the crystal system: monoclinic. The space group is C2/m (12).

***

No. 9
Computed, not measured: crystalline RbNaHg2Bi2 at its relaxed geometry at the PBE-GGA level of DFT.

Cell lengths 5.0140, 5.0140, 9.7437 Å; angles 90.00, 90.00, 120.00 degrees
Closest atoms and distances in Å follow each position.
Sites, in units of the cell vectors:
Hg 0.3333 0.6667 0.6663  3 Bi 2.96
Hg 0.6667 0.3333 0.3337  3 Bi 2.96
Bi 0.6667 0.3333 0.7302  3 Hg 2.96
Bi 0.3333 0.6667 0.2698  3 Hg 2.96
Na 0.0000 0.0000 0.5000  6 Hg 3.32, 6 Bi 3.66
Rb 0.0000 0.0000 0.0000  6 Bi 3.91, 6 Hg 4.35

Computed properties:
As for the density of states at the Fermi level: 0.77 states/eV/f.u. As for the crystal system: trigonal. The space group is P-3m1 (164). As for the formation energy: -0.252 eV/atom.

***

No. 10
Computed, not measured: crystalline DyBe17Cr at its relaxed geometry at the PBE-GGA level of DFT.

Cell lengths 5.6553, 5.6553, 5.6553 Å; angles 83.07, 83.07, 83.07 degrees
Closest atoms and distances in Å follow each position.
Sites, in units of the cell vectors:
Be 0.9994 0.9994 0.5017  10 Be 2.12-2.30
Be 0.5017 0.9994 0.9994  10 Be 2.12-2.30
Be 0.6518 0.6518 0.1628  9 Be 2.19-2.40
Be 0.1020 0.1020 0.1020  7 Be 2.12-2.29
Be 0.8544 0.3396 0.3396  9 Be 2.14-2.31
Be 0.9075 0.9075 0.9075  4 Be 2.12-2.30
Be 0.0063 0.7064 0.2873  8 Be 2.11-2.31
Be 0.3396 0.3396 0.8544  9 Be 2.14-2.31
Be 0.1628 0.6518 0.6518  9 Be 2.19-2.40
Be 0.0063 0.2873 0.7064  8 Be 2.11-2.31
Be 0.2873 0.0063 0.7064  8 Be 2.11-2.31
Be 0.7064 0.2873 0.0063  8 Be 2.11-2.31
Be 0.6518 0.1628 0.6518  9 Be 2.19-2.40
Be 0.3396 0.8544 0.3396  9 Be 2.14-2.31
Be 0.9994 0.5017 0.9994  10 Be 2.12-2.30
Be 0.7064 0.0063 0.2873  8 Be 2.11-2.31
Be 0.2873 0.7064 0.0063  8 Be 2.11-2.31
Dy 0.6595 0.6595 0.6595  19 Be 2.71-2.87
Cr 0.3304 0.3304 0.3304  13 Be 2.49-2.73

Computed properties:
As for the density of states at the Fermi level: 5.37 states/eV/f.u. As for the crystal system: trigonal. The space group is R3m (160). As for the formation energy: -0.063 eV/atom.

***

No. 11
Computed, not measured: crystalline Pm4AlTlCd2 at its relaxed geometry at the PBE-GGA level of DFT.

Cell lengths 5.3951, 5.3951, 9.3650 Å; angles 73.26, 73.26, 60.00 degrees
Closest atoms and distances in Å follow each position.
Sites, in units of the cell vectors:
Pm 0.3782 0.3782 0.8655  1 Al 3.23, 4 Cd 3.28-3.40, 3 Tl 3.33
Pm 0.8719 0.8719 0.3844  4 Cd 3.23-3.33, 3 Al 3.28, 1 Tl 3.39
Pm 0.6218 0.6218 0.1345  1 Al 3.23, 4 Cd 3.28-3.40, 3 Tl 3.33
Pm 0.1281 0.1281 0.6156  4 Cd 3.23-3.33, 3 Al 3.28, 1 Tl 3.39
Tl 0.0000 0.0000 0.0000  8 Pm 3.33-3.39
Al 0.5000 0.5000 0.5000  8 Pm 3.23-3.28
Cd 0.7501 0.7501 0.7498  8 Pm 3.23-3.40
Cd 0.2499 0.2499 0.2502  8 Pm 3.23-3.40

Computed properties:
As for the density of states at the Fermi level: 9.22 states/eV/f.u. As for the crystal system: trigonal. The space group is R-3m (166). As for the formation energy: -0.353 eV/atom.

***

No. 12
Computed, not measured: crystalline CaP2Cl at its relaxed geometry at the PBE-GGA level of DFT.

Cell lengths 5.2692, 5.2692, 4.9113 Å; angles 90.00, 90.00, 126.41 degrees
Closest atoms and distances in Å follow each position.
Sites, in units of the cell vectors:
Cl 0.0000 0.5000 0.5000  2 Ca 2.38
P 0.5000 0.5000 0.0000  2 P 2.38
P 0.0000 0.0000 0.0000  2 P 2.38
Ca 0.5000 0.0000 0.5000  2 Cl 2.38

Computed properties:
The energy above the lowest structure with this stoichiometry comes out at 617.3 meV/atom. As for the density of states at the Fermi level: 1.60 states/eV/f.u. As for the crystal system: orthorhombic. The space group is Cmmm (65).

***

| no. | mass density (kg/m3) | M_tot (μB/cell) | VASP energy (eV per atom) |
| --- | --- | --- | --- |
| 1 | 9668 | 0.00 | -7.37 |
| 2 | 5547 | 0.00 | -3.43 |
| 3 | 2683 | 0.00 | -2.41 |
| 4 | 8627 | 0.00 | -5.71 |
| 5 | 5241 | 2.20 | -3.19 |
| 6 | 6392 | 0.00 | -4.80 |
| 7 | 7215 | 4.37 | -6.99 |
| 8 | 4494 | 0.76 | -7.25 |
| 9 | 7261 | 0.00 | -2.03 |
| 10 | 3446 | 2.09 | -4.15 |
| 11 | 7729 | 0.00 | -3.72 |
| 12 | 2080 | 0.00 | -4.03 |